Record 1
GGA-PBEsol KCa2As, optimized geometry; space group = P4mm (99); formation energy = -0.465 eV/atom
1.0
4.102 0.000 0.000
0.000 4.102 0.000
0.000 0.000 8.758
As Ca K
1 2 1
Cartesian
2.051 2.051 7.494
0.000 0.000 8.021
2.051 2.051 1.592
0.000 0.000 4.789

Record 2
GGA-PBEsol Sm2AgIr, optimized geometry; space group = Fm-3m (225); formation energy = -0.480 eV/atom
1.0
4.985 0.000 0.000
2.493 4.317 0.000
2.493 1.439 4.070
Ir Sm Ag
1 2 1
Cartesian
0.000 0.000 0.000
2.493 1.439 1.018
7.478 4.317 3.053
4.985 2.878 2.035

Record 3
GGA-PBEsol Li2HfAs2, optimized geometry; space group = I4/mmm (139); formation energy = -0.580 eV/atom
1.0
-0.429 0.967 3.345
-1.587 -3.055 0.680
6.800 -1.627 -0.496
As Hf Li
2 1 2
Cartesian
4.524 -2.086 1.184
0.260 -1.628 2.344
0.000 0.000 0.000
2.103 -2.863 1.098
2.681 -0.852 2.431

Record 4
GGA-PBEsol ScC2, optimized geometry; space group = P6_3/mmc (194); formation energy = 0.296 eV/atom
1.0
2.743 0.000 0.000
-1.372 2.376 0.000
0.000 0.000 7.628
Sc C
2 4
Cartesian
0.000 0.000 5.721
0.000 0.000 1.907
0.000 1.584 3.713
1.372 0.792 7.527
1.372 0.792 3.915
0.000 1.584 0.101

Record 5
GGA-PBEsol La4ReSe, optimized geometry; space group = F-43m (216); ΔE_f (raw) = 0.660 eV per atom
1.0
-2.190 5.580 0.748
-3.256 1.334 4.910
2.305 3.602 4.266
La Re Se
4 1 1
Cartesian
-1.180 3.951 3.728
-0.033 5.742 5.850
-2.269 6.725 4.100
-2.799 4.614 6.170
-2.355 7.887 7.443
0.000 0.000 0.000

Record 6
GGA-PBEsol OsPtPb2, optimized geometry; space group = Fm-3m (225); formation energy = 0.705 eV/atom
1.0
-2.104 -1.009 -4.159
2.388 -2.398 -3.360
-1.207 -4.497 -1.033
Os Pb Pt
1 2 1
Cartesian
0.000 0.000 0.000
-0.231 -1.976 -2.138
-0.692 -5.928 -6.415
-0.461 -3.952 -4.276

Record 7
GGA-PBEsol ZrInO2, optimized geometry; space group = R-3m (166); ΔE_f (raw) = -2.292 eV per atom
1.0
-0.704 2.502 2.016
0.390 -0.345 3.248
6.807 3.126 1.180
O Zr In
2 1 1
Cartesian
2.247 3.049 5.051
4.246 2.234 1.393
3.247 2.642 3.222
0.000 0.000 0.000

Record 8
GGA-PBEsol LiTmGe, optimized geometry; space group = P-62m (189); formation energy = -0.736 eV/atom
1.0
4.178 0.000 0.000
0.000 6.861 0.000
0.000 -3.430 5.942
Ge Tm Li
3 3 3
Cartesian
2.089 0.000 3.961
2.089 3.430 1.981
0.000 0.000 0.000
0.000 1.961 3.396
0.000 2.939 0.000
0.000 -1.469 2.545
2.089 5.265 0.000
2.089 -2.632 4.559
2.089 0.798 1.382

Record 9
GGA-PBEsol CaRh2Au, optimized geometry; space group = Cmmm (65); formation energy = -0.057 eV/atom
1.0
2.971 0.000 0.000
0.000 4.757 -0.020
0.000 -1.236 4.594
Au Ca Rh
1 1 2
Cartesian
1.486 0.000 0.000
1.486 1.761 2.287
0.000 2.379 -0.010
0.000 -0.618 2.297

Record 10
GGA-PBEsol CsRb3N, optimized geometry; space group = Pm-3m (221); ΔE_f (raw) = 1.289 eV per atom
1.0
8.732 0.000 0.000
0.000 8.732 0.000
0.000 0.000 8.732
Cs Rb N
1 3 1
Cartesian
0.000 0.000 0.000
0.000 4.366 0.000
0.000 0.000 4.366
4.366 0.000 0.000
4.366 4.366 4.366

Record 11
GGA-PBEsol La2Te3MoO12, optimized geometry; space group = Pnma (62); ΔE_f (raw) = -2.037 eV per atom
1.0
7.309 0.000 0.000
0.000 11.652 0.000
0.000 0.000 13.420
La Te Mo O
8 12 4 48
Cartesian
2.995 4.834 11.658
4.313 10.660 1.762
2.995 0.992 11.658
6.649 4.834 8.472
6.649 0.992 8.472
4.313 6.818 1.762
0.659 6.818 4.948
0.659 10.660 4.948
2.535 11.114 8.318
3.900 8.739 5.153
4.774 5.288 5.102
6.189 11.114 11.812
2.535 6.364 8.318
0.246 8.739 1.557
7.063 2.913 11.863
1.119 5.288 1.608
3.408 2.913 8.267
1.119 0.538 1.608
4.774 0.538 5.102
6.189 6.364 11.812
2.577 8.739 12.111
6.231 8.739 8.019
4.732 2.913 1.309
1.077 2.913 5.401
1.261 5.801 7.063
1.261 0.025 7.063
0.416 2.913 7.064
1.679 5.331 9.645
1.588 2.913 12.312
6.762 10.169 8.916
5.720 8.739 1.108
0.547 4.343 4.504
4.489 8.739 7.848
4.915 0.025 13.067
3.436 10.852 5.425
5.333 5.331 10.485
3.873 0.800 7.995
5.333 0.495 10.485
4.915 5.801 13.067
4.070 2.913 13.066
2.393 11.627 0.353
5.630 11.157 3.775
3.585 2.913 10.150
1.976 11.157 2.935
1.679 0.495 9.645
5.243 2.913 7.818
3.239 8.739 0.354
3.873 5.026 7.995
0.218 0.800 12.135
0.835 8.739 12.282
4.201 4.343 2.206
6.047 11.627 6.357
0.547 1.483 4.504
6.762 7.309 8.916
3.108 10.169 11.214
3.436 6.626 5.425
3.723 8.739 3.270
2.393 5.851 0.353
2.066 8.739 5.602
1.976 6.321 2.935
2.820 2.913 5.572
4.201 1.483 2.206
6.474 2.913 1.138
5.630 6.321 3.775
7.090 6.626 1.285
7.090 10.852 1.285
3.108 7.309 11.214
0.069 8.739 3.440
6.893 8.739 6.356
6.047 5.851 6.357
0.218 5.026 12.135
7.239 2.913 9.980

Record 12
GGA-PBEsol Cs2ZrCd, optimized geometry; space group = Fm-3m (225); formation energy = 1.098 eV/atom
1.0
6.225 0.000 0.000
3.112 5.391 0.000
3.112 1.797 5.082
Cs Zr Cd
2 1 1
Cartesian
3.112 1.797 1.271
9.337 5.391 3.812
0.000 0.000 0.000
6.225 3.594 2.541

| no. | raw total energy (eV/atom) | magnetic moment (Bohr magnetons per cell) | V (Å³ per cell) |
| --- | --- | --- | --- |
| 1 | -3.091 | 0.0 | 147.4 |
| 2 | -6.310 | 0.0 | 87.6 |
| 3 | -5.509 | 0.0 | 80.7 |
| 4 | -8.335 | 0.0 | 49.7 |
| 5 | -5.768 | 0.0 | 155.9 |
| 6 | -6.089 | 0.0 | 76.7 |
| 7 | -7.935 | 0.0 | 68.8 |
| 8 | -4.671 | 0.0 | 170.3 |
| 9 | -5.641 | 0.0 | 64.9 |
| 10 | -1.220 | 2.2 | 665.9 |
| 11 | -7.372 | 0.0 | 1142.8 |
| 12 | -1.945 | 4.0 | 170.6 |